(1)
Below is crystalline Sr2Br3N2 at its relaxed geometry, with properties calculated at the PBE level.

Computed properties:
formation energy without anion corrections = -1369 meV/atom

Cell: 4.545 7.159 7.395 Å, 99.51 107.65 91.56°
Space group P-1 (No. 2)
Asymmetric unit:
1 Sr 0.114 0.322 0.239
2 Br 0.252 0.733 0.487
3 Br 0.500 0.500 0.000
4 N 0.134 0.989 0.022

(2)
Below is crystalline SrUP2 at its relaxed geometry, with properties calculated at the PBE level.

Computed properties:
offset from the most stable computed form = 0 meV per atom
D(E_F) = 19.29 states/eV/cell
formation enthalpy at 0 K = -1.03 eV per atom

Cell: 4.1028 4.1028 20.8286 Å, 90.00 90.00 120.00°
Space group R-3m (No. 166, hexagonal axes)
Asymmetric unit:
1 Sr 0.0000 0.0000 0.0000
2 U 0.0000 0.0000 0.5000
3 P 0.0000 0.0000 0.2374

(3)
Below is crystalline Ba3CrSi at its relaxed geometry, with properties calculated at the PBE level.

Computed properties:
formation energy without anion corrections = 433 meV/atom
offset from the most stable computed form = 0 meV per atom
D(E_F) = 5.54 states/eV/cell

Cell: 6.393 6.393 6.393 Å, 90.00 90.00 90.00°
Space group Pm-3m (No. 221)
Asymmetric unit:
1 Ba 0.000 0.000 0.500
2 Cr 0.500 0.500 0.500
3 Si 0.000 0.000 0.000

(4)
Below is crystalline Se2S2Br at its relaxed geometry, with properties calculated at the PBE level.

Computed properties:
formation energy without anion corrections = 112 meV/atom
D(E_F) = 0.07 states/eV/cell

Cell: 6.893 7.390 7.523 Å, 65.37 88.46 68.07°
Space group P-1 (No. 2)
Asymmetric unit:
1 Se 0.085 0.136 0.148
2 Se 0.261 0.633 0.480
3 S 0.034 0.159 0.735
4 S 0.378 0.903 0.364
5 Br 0.316 0.364 0.091

(5)
Below is crystalline PaB4Mo at its relaxed geometry, with properties calculated at the PBE level.

Computed properties:
offset from the most stable computed form = 265 meV per atom
D(E_F) = 7.02 states/eV/cell
formation enthalpy at 0 K = -0.37 eV per atom

Cell: 3.149 5.391 7.541 Å, 90.00 90.00 90.00°
Space group Immm (No. 71)
Asymmetric unit:
1 Pa 0.000 0.000 0.000
2 B 0.000 0.332 0.248
3 Mo 0.000 0.000 0.500

(6)
Below is crystalline SmDy2Al2Zn2 at its relaxed geometry, with properties calculated at the PBE level.

Computed properties:
D(E_F) = 10.65 states/eV/cell
formation enthalpy at 0 K = -0.31 eV per atom

Cell: 4.5253 4.5253 27.4495 Å, 90.00 90.00 120.00°
Space group R-3m (No. 166, hexagonal axes)
Asymmetric unit:
1 Sm 0.0000 0.0000 0.0000
2 Dy 0.0000 0.0000 0.1283
3 Al 0.0000 0.0000 0.2614
4 Zn 0.0000 0.0000 0.4021

(7)
Below is crystalline SrTcRu2 at its relaxed geometry, with properties calculated at the PBE level.

Computed properties:
offset from the most stable computed form = 341 meV per atom
D(E_F) = 16.49 states/eV/cell
formation enthalpy at 0 K = 0.82 eV per atom

Cell: 2.8533 2.8533 29.3444 Å, 90.00 90.00 120.00°
Space group R3m (No. 160, hexagonal axes)
Asymmetric unit:
1 Sr 0.0000 0.0000 0.0000
2 Tc 0.0000 0.0000 0.2357
3 Ru 0.0000 0.0000 0.4983
4 Ru 0.0000 0.0000 0.7595

(8)
Below is crystalline Tb2TlIr at its relaxed geometry, with properties calculated at the PBE level.

Computed properties:
offset from the most stable computed form = 68 meV per atom
D(E_F) = 5.14 states/eV/cell
formation enthalpy at 0 K = -0.53 eV per atom

Cell: 3.9745 3.9745 24.3028 Å, 90.00 90.00 120.00°
Space group R-3m (No. 166, hexagonal axes)
Asymmetric unit:
1 Tb 0.0000 0.0000 0.2314
2 Tl 0.0000 0.0000 0.0000
3 Ir 0.0000 0.0000 0.5000

(9)
Below is crystalline GeMoPCl2 at its relaxed geometry, with properties calculated at the PBE level.

Computed properties:
formation energy without anion corrections = 297 meV/atom
offset from the most stable computed form = 0 meV per atom
D(E_F) = 4.35 states/eV/cell

Cell: 4.830 4.830 4.844 Å, 90.00 90.00 90.00°
Space group P4/mmm (No. 123)
Asymmetric unit:
1 Ge 0.000 0.000 0.000
2 Mo 0.500 0.500 0.500
3 P 0.500 0.500 0.000
4 Cl 0.000 0.500 0.500

(10)
Below is crystalline Na2PtIBr6 at its relaxed geometry, with properties calculated at the PBE level.

Computed properties:
formation energy without anion corrections = -705 meV/atom
D(E_F) = 1.07 states/eV/cell

Cell: 7.241 7.243 7.418 Å, 92.00 91.90 111.34°
Space group P1 (No. 1)
Asymmetric unit:
1 Na 0.000 0.000 0.000
2 Na 0.353 0.646 0.498
3 Pt 0.345 0.654 0.998
4 I 0.800 0.199 0.499
5 Br 0.080 0.683 0.193
6 Br 0.093 0.375 0.776
7 Br 0.315 0.918 0.805
8 Br 0.364 0.379 0.185
9 Br 0.621 0.637 0.811
10 Br 0.623 0.908 0.221

(11)
Below is crystalline Ce2Ni5Ge3 at its relaxed geometry, with properties calculated at the PBE level.

Computed properties:
offset from the most stable computed form = 167 meV per atom
D(E_F) = 9.52 states/eV/cell
formation enthalpy at 0 K = -0.38 eV per atom

Cell: 3.948 3.948 10.512 Å, 90.00 90.00 90.00°
Space group P-4m2 (No. 115)
Asymmetric unit:
1 Ce 0.000 0.500 0.214
2 Ni 0.000 0.000 0.000
3 Ni 0.000 0.000 0.500
4 Ni 0.000 0.500 0.865
5 Ni 0.500 0.500 0.000
6 Ge 0.000 0.500 0.647
7 Ge 0.500 0.500 0.500

(12)
Below is crystalline LiHoHgF6 at its relaxed geometry, with properties calculated at the PBE level.

Computed properties:
formation energy without anion corrections = -2927 meV/atom
D(E_F) = 0.00 states/eV/cell

Cell: 5.108 5.108 10.350 Å, 90.00 90.00 90.00°
Space group P4_2nm (No. 102)
Asymmetric unit:
1 Li 0.000 0.000 0.000
2 Ho 0.000 0.000 0.340
3 Hg 0.000 0.000 0.671
4 F 0.183 0.183 0.170
5 F 0.198 0.198 0.851
6 F 0.209 0.209 0.492

(13)
Below is crystalline LaAuC2Br at its relaxed geometry, with properties calculated at the PBE level.

Computed properties:
formation energy without anion corrections = 1975 meV/atom
D(E_F) = 3.83 states/eV/cell

Cell: 4.408 4.408 5.621 Å, 90.00 90.00 90.00°
Space group P4/mmm (No. 123)
Asymmetric unit:
1 La 0.000 0.000 0.000
2 Au 0.500 0.500 0.000
3 C 0.000 0.500 0.500
4 Br 0.000 0.000 0.500

(14)
Below is crystalline PuHf4Co at its relaxed geometry, with properties calculated at the PBE level.

Computed properties:
D(E_F) = 33.72 states/eV/cell
formation enthalpy at 0 K = -0.01 eV per atom

Cell: 8.000 12.034 5.438 Å, 90.00 109.75 90.00°
Space group C2/c (No. 15)
Asymmetric unit:
1 Pu 0.000 0.113 0.250
2 Hf 0.106 0.322 0.557
3 Hf 0.221 0.094 0.856
4 Co 0.000 0.499 0.250

(15)
Below is crystalline K3Sm3VSe8 at its relaxed geometry, with properties calculated at the PBE level.

Computed properties:
formation energy without anion corrections = -1456 meV/atom
D(E_F) = 18.90 states/eV/cell

Cell: 8.2855 8.2855 23.6120 Å, 90.00 90.00 120.00°
Space group R-3m (No. 166, hexagonal axes)
Asymmetric unit:
1 K 0.0000 0.5000 0.0000
2 Sm 0.0000 0.5000 0.5000
3 V 0.0000 0.0000 0.5000
4 Se 0.0000 0.0000 0.2372
5 Se 0.0345 0.5172 0.2303

(16)
Below is crystalline Cu8GePt2 at its relaxed geometry, with properties calculated at the PBE level.

Computed properties:
D(E_F) = 7.41 states/eV/cell
formation enthalpy at 0 K = 0.11 eV per atom

Cell: 11.353 6.518 4.434 Å, 90.00 103.62 90.00°
Space group C2/m (No. 12)
Asymmetric unit:
1 Cu 0.063 0.184 0.286
2 Cu 0.140 0.000 0.836
3 Cu 0.241 0.500 0.593
4 Ge 0.000 0.500 0.500
5 Pt 0.129 0.500 0.027

(17)
Below is crystalline NaPrEr at its relaxed geometry, with properties calculated at the PBE level.

Computed properties:
offset from the most stable computed form = 0 meV per atom
D(E_F) = 4.33 states/eV/cell
formation enthalpy at 0 K = 0.13 eV per atom

Cell: 3.5854 3.5854 9.2592 Å, 90.00 90.00 120.00°
Space group P3m1 (No. 156)
Asymmetric unit:
1 Na 0.0000 0.0000 0.0000
2 Pr 0.3333 0.6667 0.6447
3 Er 0.6667 0.3333 0.3423

(18)
Below is crystalline SrGaN2 at its relaxed geometry, with properties calculated at the PBE level.

Computed properties:
formation energy without anion corrections = -231 meV/atom
offset from the most stable computed form = 0 meV per atom
D(E_F) = 0.81 states/eV/cell

Cell: 6.411 7.242 5.672 Å, 90.00 90.00 90.00°
Space group Pna2_1 (No. 33)
Asymmetric unit:
1 Sr 0.140 0.106 0.000
2 Ga 0.080 0.629 0.007
3 N 0.001 0.408 0.832
4 N 0.121 0.166 0.460

(19)
Below is crystalline Mg2SiNi5Ge2 at its relaxed geometry, with properties calculated at the PBE level.

Computed properties:
formation energy without anion corrections = -296 meV/atom
D(E_F) = 8.69 states/eV/cell

Cell: 9.604 9.604 2.954 Å, 90.00 90.00 90.00°
Space group P4/mbm (No. 127)
Asymmetric unit:
1 Mg 0.169 0.331 0.000
2 Si 0.000 0.000 0.000
3 Ni 0.000 0.500 0.500
4 Ni 0.046 0.812 0.500
5 Ge 0.135 0.635 0.000